a) Computed, not measured: a geometry-optimized CoNiAs2 structure at the PBE level of DFT.

Calculated values
The total magnetic moment comes out at 0.000 μB per cell. Its theoretical density is 7.05 g cm⁻³. The crystal system is monoclinic.

Geometry as POSCAR:
```
CoNiAs2
1.0
-3.204 2.423 2.078
-1.661 0.442 -3.077
-2.900 -3.079 -0.880
As Ni Co
2 1 1
Cartesian
-3.881 -2.511 -3.057
-3.419 0.430 -0.852
-5.032 -0.591 -2.147
-2.274 -1.497 -1.760
```

=====

b) Computed, not measured: a geometry-optimized CoNiAs2 structure at the PBE level of DFT.

Calculated values
The total magnetic moment comes out at 0.000 μB per cell. Its theoretical density is 8.02 g cm⁻³. The crystal system is orthorhombic.

Geometry as POSCAR:
```
CoNiAs2
1.0
-0.538 0.080 3.229
-2.011 -2.731 -0.268
3.924 -2.961 0.728
Co Ni As
1 1 2
Cartesian
1.797 -1.356 0.333
1.838 -3.674 2.058
-0.031 -2.264 1.711
3.657 -2.759 0.678
```

=====

Winner for stability: a)

=====

a) Computed, not measured: a geometry-optimized CoNiAs2Se structure at the PBE level of DFT.

Calculated values
The total magnetic moment comes out at 1.805 μB per cell. Its theoretical density is 5.83 g cm⁻³. The crystal system is tetragonal.

Geometry as POSCAR:
```
CoNiAs2Se
1.0
-0.975 -1.780 3.994
3.932 -2.146 0.004
2.100 3.852 2.229
Co As Ni Se
1 2 1 1
Cartesian
2.528 -0.037 3.113
1.966 -1.073 0.002
-0.488 -0.890 1.997
0.000 0.000 0.000
1.050 1.926 1.115
```

=====

b) Computed, not measured: a geometry-optimized CoNiAs2Se structure at the PBE level of DFT.

Calculated values
The total magnetic moment comes out at 0.383 μB per cell. Its theoretical density is 6.00 g cm⁻³. The crystal system is tetragonal.

Geometry as POSCAR:
```
CoNiAs2Se
1.0
4.371 0.000 0.000
0.000 4.371 0.000
0.000 0.000 5.017
Co As Se Ni
1 2 1 1
Cartesian
0.000 0.000 0.000
2.186 0.000 0.000
0.000 2.186 0.000
0.000 0.000 2.508
2.186 2.186 2.508
```

=====

Winner for stability: b)

=====

a) Computed, not measured: a geometry-optimized CoAsOs3 structure at the PBE level of DFT.

Calculated values
The total magnetic moment comes out at 1.616 μB per cell. Its theoretical density is 13.46 g cm⁻³. The crystal system is cubic.

Geometry as POSCAR:
```
CoAsOs3
1.0
-4.143 -1.461 -0.564
1.558 -3.681 -1.909
0.161 -1.984 3.957
As Os Co
1 3 1
Cartesian
-1.212 -3.563 0.742
-2.072 -0.731 -0.282
0.081 -0.992 1.979
0.779 -1.841 -0.954
0.000 0.000 0.000
```

=====

b) Computed, not measured: a geometry-optimized CoAsOs3 structure at the PBE level of DFT.

Calculated values
The total magnetic moment comes out at 0.004 μB per cell. Its theoretical density is 13.11 g cm⁻³. The crystal system is cubic.

Geometry as POSCAR:
```
CoAsOs3
1.0
-3.420 -2.702 0.985
1.119 0.160 4.323
-2.650 3.555 0.554
Os As Co
3 1 1
Cartesian
-1.325 1.778 0.277
0.559 0.080 2.162
-1.710 -1.351 0.492
0.000 0.000 0.000
-2.475 0.506 2.931
```

=====

Winner for stability: a)

=====

a) Computed, not measured: a geometry-optimized Co3AsOs structure at the PBE level of DFT.

Calculated values
The total magnetic moment comes out at 0.501 μB per cell. Its theoretical density is 8.37 g cm⁻³. The crystal system is cubic.

Geometry as POSCAR:
```
Co3AsOs
1.0
-2.274 2.799 2.595
-0.486 -3.208 3.035
3.786 1.270 1.948
As Co Os
1 3 1
Cartesian
0.513 0.430 3.789
-1.137 1.400 1.298
1.893 0.635 0.974
-0.243 -1.604 1.518
0.000 0.000 0.000
```

=====

b) Computed, not measured: a geometry-optimized Co3AsOs structure at the PBE level of DFT.

Calculated values
The total magnetic moment comes out at 6.422 μB per cell. Its theoretical density is 9.60 g cm⁻³. The crystal system is cubic.

Geometry as POSCAR:
```
Co3AsOs
1.0
4.244 0.000 0.000
0.000 4.244 0.000
0.000 0.000 4.244
As Co Os
1 3 1
Cartesian
0.000 0.000 0.000
0.000 2.122 0.000
2.122 0.000 0.000
0.000 0.000 2.122
2.122 2.122 2.122
```

=====

Winner for stability: b)